# 1
A relaxed Ho4ZrAl15 crystal. Source: Alexandria via LeMat-Bulk, functional PBE.

**Total energy**: -4.57 eV per atom
**DOS at the Fermi energy**: 0.5350 states/eV/atom
**Magnetization**: 0.00 Bohr magnetons per cell

Lattice parameters (Å, degrees): 4.222 4.222 21.045 90.00 90.00 90.00
Positions (direct):
1 Ho 0.000 0.000 0.101
2 Ho 0.000 0.000 0.304
3 Ho 0.000 0.000 0.696
4 Ho 0.000 0.000 0.899
5 Zr 0.000 0.000 0.500
6 Al 0.000 0.500 0.000
7 Al 0.000 0.500 0.203
8 Al 0.000 0.500 0.405
9 Al 0.000 0.500 0.595
10 Al 0.000 0.500 0.797
11 Al 0.500 0.000 0.000
12 Al 0.500 0.000 0.203
13 Al 0.500 0.000 0.405
14 Al 0.500 0.000 0.595
15 Al 0.500 0.000 0.797
16 Al 0.500 0.500 0.102
17 Al 0.500 0.500 0.304
18 Al 0.500 0.500 0.500
19 Al 0.500 0.500 0.696
20 Al 0.500 0.500 0.898

# 2
A relaxed HoZr2Al crystal. Source: Alexandria via LeMat-Bulk, functional PBE.

**Total energy**: -6.39 eV per atom
**DOS at the Fermi energy**: 0.4937 states/eV/atom
**Magnetization**: 0.00 Bohr magnetons per cell

Lattice parameters (Å, degrees): 7.085 7.085 7.085 90.00 90.00 90.00
Positions (direct):
1 Ho 0.000 0.000 0.000
2 Ho 0.000 0.500 0.500
3 Ho 0.500 0.000 0.500
4 Ho 0.500 0.500 0.000
5 Zr 0.250 0.250 0.250
6 Zr 0.250 0.250 0.750
7 Zr 0.250 0.750 0.250
8 Zr 0.250 0.750 0.750
9 Zr 0.750 0.250 0.250
10 Zr 0.750 0.250 0.750
11 Zr 0.750 0.750 0.250
12 Zr 0.750 0.750 0.750
13 Al 0.000 0.000 0.500
14 Al 0.000 0.500 0.000
15 Al 0.500 0.000 0.000
16 Al 0.500 0.500 0.500

# 3
A relaxed HoZr2Al crystal. Source: Alexandria via LeMat-Bulk, functional PBE.

**Total energy**: -6.55 eV per atom
**DOS at the Fermi energy**: 0.7854 states/eV/atom
**Magnetization**: 0.00 Bohr magnetons per cell

Lattice parameters (Å, degrees): 4.490 4.490 4.458 90.00 90.00 90.00
Positions (direct):
1 Ho 0.000 0.000 0.000
2 Zr 0.000 0.500 0.500
3 Zr 0.500 0.000 0.500
4 Al 0.500 0.500 0.000

# 4
A relaxed HoZr2Al crystal. Source: Alexandria via LeMat-Bulk, functional PBE.

**Total energy**: -6.49 eV per atom
**DOS at the Fermi energy**: 1.2848 states/eV/atom
**Magnetization**: 0.00 Bohr magnetons per cell

Lattice parameters (Å, degrees): 3.144 3.144 9.253 90.00 90.00 90.00
Positions (direct):
1 Ho 0.000 0.000 0.000
2 Zr 0.500 0.500 0.287
3 Zr 0.500 0.500 0.713
4 Al 0.000 0.000 0.500

# 5
A relaxed HoZr2Al6 crystal. Source: Alexandria via LeMat-Bulk, functional PBE.

**Total energy**: -5.35 eV per atom
**DOS at the Fermi energy**: 0.5319 states/eV/atom
**Magnetization**: 0.00 Bohr magnetons per cell

Lattice parameters (Å, degrees): 7.769 7.769 3.253 90.00 90.00 120.00
Positions (direct):
1 Ho 0.000 0.000 0.000
2 Zr 0.333 0.667 0.000
3 Zr 0.667 0.333 0.000
4 Al 0.000 0.336 0.500
5 Al 0.000 0.664 0.500
6 Al 0.336 0.000 0.500
7 Al 0.336 0.336 0.500
8 Al 0.664 0.000 0.500
9 Al 0.664 0.664 0.500

# 6
A relaxed HoZr2Al crystal. Source: Alexandria via LeMat-Bulk, functional PBE.

**Total energy**: -6.53 eV per atom
**DOS at the Fermi energy**: 1.1850 states/eV/atom
**Magnetization**: 0.00 Bohr magnetons per cell

Lattice parameters (Å, degrees): 4.399 4.241 10.615 90.00 101.83 90.00
Positions (direct):
1 Ho 0.191 0.250 0.386
2 Ho 0.809 0.750 0.614
3 Zr 0.058 0.750 0.117
4 Zr 0.445 0.750 0.889
5 Zr 0.555 0.250 0.111
6 Zr 0.942 0.250 0.883
7 Al 0.345 0.250 0.685
8 Al 0.655 0.750 0.315

# 7
A relaxed HoZr2Al6 crystal. Source: Alexandria via LeMat-Bulk, functional PBE.

**Total energy**: -5.19 eV per atom
**DOS at the Fermi energy**: 0.5041 states/eV/atom
**Magnetization**: 0.00 Bohr magnetons per cell

Lattice parameters (Å, degrees): 7.709 7.709 7.709 148.08 127.80 62.50
Positions (direct):
1 Ho 0.000 0.000 0.000
2 Zr 0.383 0.883 0.500
3 Zr 0.617 0.117 0.500
4 Al 0.015 0.310 0.706
5 Al 0.312 0.500 0.812
6 Al 0.396 0.690 0.706
7 Al 0.604 0.310 0.294
8 Al 0.688 0.500 0.188
9 Al 0.985 0.690 0.294

# 8
A relaxed Ho2ZrAl crystal. Source: Alexandria via LeMat-Bulk, functional PBE.

**Total energy**: -5.53 eV per atom
**DOS at the Fermi energy**: 0.8191 states/eV/atom
**Magnetization**: 0.00 Bohr magnetons per cell

Lattice parameters (Å, degrees): 4.575 4.575 4.634 90.00 90.00 90.00
Positions (direct):
1 Ho 0.000 0.500 0.000
2 Ho 0.500 0.000 0.000
3 Zr 0.000 0.000 0.500
4 Al 0.500 0.500 0.500